a.
MoIr2Rh: relaxed, GGA-PBEsol.

Structure (extended XYZ):
```
4
Lattice="-0.446 -3.796 0.474 1.933 -0.632 -3.271 2.518 2.074 3.351" Properties=species:S:1:pos:R:3 pbc="T T T"
Mo 0.000 0.000 0.000
Ir 1.408 -1.969 1.214
Ir 2.597 -0.386 -0.660
Rh 0.744 -2.214 -1.399
```


b.
MoIr2Rh: relaxed, GGA-PBEsol.

Structure (extended XYZ):
```
4
Lattice="3.834 0.000 0.000 0.000 3.834 0.000 -1.917 -1.917 3.838" Properties=species:S:1:pos:R:3 pbc="T T T"
Ir 0.000 0.000 0.000
Mo 1.917 1.917 0.000
Ir 0.000 1.917 1.919
Rh 1.917 0.000 1.919
```


How far above the most stable structure does each one sit? In meV per atom: a 0; b 23.